## CeGe3Ru (PBEsol)

Data for a geometry-optimized CeGe3Ru structure.

Unit cell a=8.941 b=8.941 c=8.941 alpha=90.00 beta=90.00 gamma=90.00
Space group Pm-3n (No. 223)
Asymmetric unit:
Ce (0.000, 0.000, 0.000)
Ce (0.000, 0.250, 0.500)
Ge (0.000, 0.326, 0.153)
Ru (0.250, 0.250, 0.250)

## Properties
Its formation energy is -3.16 eV/f.u. As for the total energy: -277.93 eV for the cell shown. The density of states at the Fermi level comes out at 2.7 states/eV/f.u. The value obtained for the total magnetic moment is 0.271 μB per formula unit.